# MgBeIr2Pd PBE relaxed
# Uncorrected energy ... -5.456 eV per atom
# Formation energy from the elements ... 0.191 eV per atom
data_MgBeIr2Pd
_cell_length_a 4.1226
_cell_length_b 4.1226
_cell_length_c 4.3444
_cell_angle_alpha 90.00
_cell_angle_beta 90.00
_cell_angle_gamma 90.00
_space_group_name_H-M_alt 'P 1'
_space_group_IT_number 1
_space_group_name_Hall 'P 1'
loop_
_atom_site_label
_atom_site_fract_x
_atom_site_fract_y
_atom_site_fract_z
Mg1 0.0000 0.0000 0.0000
Be1 0.0000 0.0000 0.5000
Ir1 0.0000 0.5000 0.5000
Ir2 0.5000 0.0000 0.5000
Pd1 0.5000 0.5000 0.0000

# Pm2MgBeIr2 PBE relaxed
# Uncorrected energy ... -5.950 eV per atom
# Formation energy from the elements ... -0.526 eV per atom
data_Pm2MgBeIr2
_cell_length_a 7.4383
_cell_length_b 7.4383
_cell_length_c 7.4383
_cell_angle_alpha 119.34
_cell_angle_beta 80.03
_cell_angle_gamma 133.09
_space_group_name_H-M_alt 'P 1'
_space_group_IT_number 1
_space_group_name_Hall 'P 1'
loop_
_atom_site_label
_atom_site_fract_x
_atom_site_fract_y
_atom_site_fract_z
Pm1 0.1815 0.1672 0.3487
Pm2 0.3185 0.6672 0.9857
Pm3 0.6815 0.3328 0.0143
Pm4 0.8185 0.8328 0.6513
Mg1 0.2500 0.7500 0.5000
Mg2 0.7500 0.2500 0.5000
Be1 0.2500 0.2500 0.0000
Be2 0.7500 0.7500 0.0000
Ir1 0.0811 0.7933 0.8745
Ir2 0.4189 0.2933 0.7122
Ir3 0.5811 0.7067 0.2878
Ir4 0.9189 0.2067 0.1255